{
  "formula": "TiBi2O5",
  "functional": "SCAN",
  "state": "PBEsol geometry",
  "raw_formation_energy_ev_per_fu": -15.0,
  "polymorph_energy_kj_per_mol_atoms": 9.3,
  "space_group": "No. 63",
  "dos_ef_per_ev_cell": 0.00,
  "cell": [[-0.0956, 1.8073, -3.5727], [4.0986, -4.9468, -0.3673], [-7.6475, -6.1215, -2.8921]],
  "species": ["Ti", "Ti", "Bi", "Bi", "Bi", "Bi", "O", "O", "O", "O", "O", "O", "O", "O", "O", "O"],
  "frac_coords": [[0.8368, 0.6737, 0.2500], [0.1632, 0.3263, 0.7500], [0.8576, 0.7152, 0.5761], [0.8576, 0.7152, 0.9239], [0.1424, 0.2848, 0.4239], [0.1424, 0.2848, 0.0761], [0.9386, 0.8772, 0.1182], [0.9386, 0.8772, 0.3818], [0.2758, 0.5516, 0.5847], [0.2758, 0.5516, 0.9153], [0.7053, 0.4105, 0.7500], [0.2947, 0.5895, 0.2500], [0.7242, 0.4484, 0.4153], [0.7242, 0.4484, 0.0847], [0.0614, 0.1228, 0.8818], [0.0614, 0.1228, 0.6182]]
}